1.
Here is AlSiHg at its PBEsol-relaxed geometry from Alexandria. Energies are from SCAN.

As for the space group: F-43m (216). The calculation puts the uncorrected formation energy at 0.434 eV/atom. Its total energy is -84.63 eV/cell. The value obtained for the calculated volume is 62.0 Å³/f.u.

Cell lengths 4.4437, 4.4437, 4.4437 Å; angles 60.00, 60.00, 60.00 degrees
Atoms (fractional coordinates):
Si  0.0000  0.0000  0.0000
Hg  0.7500  0.7500  0.7500
Al  0.5000  0.5000  0.5000

=====

2.
Here is Sr2TaCl at its PBEsol-relaxed geometry from Alexandria. Energies are from SCAN.

As for the space group: Imm2 (44). The calculation puts the uncorrected formation energy at 0.161 eV/atom. Its total energy is -118.47 eV/cell. The value obtained for the calculated volume is 104.3 Å³/f.u.

Cell lengths 3.2251, 5.5535, 6.6483 Å; angles 114.69, 104.04, 90.00 degrees
Atoms (fractional coordinates):
Sr  0.0396  0.0396  0.0792
Sr  0.2328  0.7328  0.4656
Cl  0.7710  0.2710  0.5421
Ta  0.4566  0.4566  0.9131

=====

3.
Here is Ta2Ag2Ir at its PBEsol-relaxed geometry from Alexandria. Energies are from SCAN.

As for the space group: I4/mmm (139). The formation enthalpy at 0 K is 576 meV/atom. Its total energy is -264.12 eV/cell. The value obtained for the calculated volume is 90.7 Å³/f.u.

Cell lengths 3.5296, 3.5296, 7.6995 Å; angles 103.25, 103.25, 90.00 degrees
Atoms (fractional coordinates):
Ir  0.0000  0.0000  0.0000
Ag  0.2500  0.7500  0.5000
Ag  0.7500  0.2500  0.5000
Ta  0.4145  0.4145  0.8290
Ta  0.5855  0.5855  0.1710

=====

4.
Here is CsCaP2S at its PBEsol-relaxed geometry from Alexandria. Energies are from SCAN.

As for the space group: P4/mmm (123). The calculation puts the uncorrected formation energy at 1.014 eV/atom. Its total energy is -72.83 eV/cell. The value obtained for the calculated volume is 146.0 Å³/f.u.

Cell lengths 5.3075, 5.2445, 5.2445 Å; angles 90.00, 90.00, 90.00 degrees
Atoms (fractional coordinates):
Cs  0.0000  0.0000  0.0000
P  0.0000  0.0000  0.5000
P  0.0000  0.5000  0.0000
Ca  0.5000  0.5000  0.5000
S  0.5000  0.0000  0.0000

=====

5.
Here is AgPt3 at its PBEsol-relaxed geometry from Alexandria. Energies are from SCAN.

As for the space group: Pmm2 (25). The formation enthalpy at 0 K is 77 meV/atom. Its total energy is -241.64 eV/cell. The value obtained for the calculated volume is 61.2 Å³/f.u.

Cell lengths 2.7381, 4.6502, 4.8069 Å; angles 90.00, 90.00, 90.00 degrees
Atoms (fractional coordinates):
Pt  0.0000  0.5000  0.3387
Pt  0.5000  0.0000  0.4977
Pt  0.5000  0.5000  0.8300
Ag  0.0000  0.0000  0.0002

=====

6.
Here is TiBi3Pd at its PBEsol-relaxed geometry from Alexandria. Energies are from SCAN.

As for the space group: Pm-3m (221). The formation enthalpy at 0 K is 536 meV/atom. Its total energy is -281.86 eV/cell. The value obtained for the calculated volume is 146.1 Å³/f.u.

Cell lengths 5.2674, 5.2674, 5.2674 Å; angles 90.00, 90.00, 90.00 degrees
Atoms (fractional coordinates):
Bi  0.0000  0.5000  0.0000
Bi  0.0000  0.0000  0.5000
Bi  0.5000  0.0000  0.0000
Pd  0.0000  0.0000  0.0000
Ti  0.5000  0.5000  0.5000

=====

7.
Here is CsCaI3 at its PBEsol-relaxed geometry from Alexandria. Energies are from SCAN.

As for the space group: Pnma (62). The calculation puts the uncorrected formation energy at -1.776 eV/atom. Its total energy is -666.31 eV/cell. The value obtained for the calculated volume is 219.1 Å³/f.u.

Cell lengths 8.3228, 8.6643, 12.1550 Å; angles 90.00, 90.00, 90.00 degrees
Atoms (fractional coordinates):
Cs  0.0222  0.4361  0.2500
Cs  0.9778  0.5639  0.7500
Cs  0.5222  0.0639  0.7500
Cs  0.4778  0.9361  0.2500
Ca  0.0000  0.0000  0.0000
Ca  0.5000  0.5000  0.0000
Ca  0.0000  0.0000  0.5000
Ca  0.5000  0.5000  0.5000
I  0.3021  0.2010  0.0302
I  0.6979  0.7990  0.9698
I  0.8021  0.2990  0.9698
I  0.6979  0.7990  0.5302
I  0.1979  0.7010  0.0302
I  0.3021  0.2010  0.4698
I  0.1979  0.7010  0.4698
I  0.8021  0.2990  0.5302
I  0.5601  0.5018  0.2500
I  0.4399  0.4982  0.7500
I  0.0601  0.9982  0.7500
I  0.9399  0.0018  0.2500

=====

8.
Here is BaIn2As at its PBEsol-relaxed geometry from Alexandria. Energies are from SCAN.

As for the space group: Cm (8). The formation enthalpy at 0 K is -511 meV/atom. Its total energy is -128.56 eV/cell. The value obtained for the calculated volume is 118.5 Å³/f.u.

Cell lengths 4.2457, 5.2369, 6.1598 Å; angles 107.11, 90.00, 113.91 degrees
Atoms (fractional coordinates):
As  0.4917  0.9833  0.4083
Ba  0.2379  0.4758  0.7419
In  0.0139  0.0277  0.0914
In  0.7566  0.5131  0.2585

=====

9.
Here is KBaFe2 at its PBEsol-relaxed geometry from Alexandria. Energies are from SCAN.

As for the space group: P4/mmm (123). The formation enthalpy at 0 K is 1168 meV/atom. Its total energy is -79.47 eV/cell. The value obtained for the calculated volume is 100.4 Å³/f.u.

Cell lengths 4.7052, 4.6197, 4.6197 Å; angles 90.00, 90.00, 90.00 degrees
Atoms (fractional coordinates):
Ba  0.5000  0.0000  0.0000
Fe  0.0000  0.0000  0.5000
Fe  0.0000  0.5000  0.0000
K  0.5000  0.5000  0.5000

=====

10.
Here is Ca4SeBr at its PBEsol-relaxed geometry from Alexandria. Energies are from SCAN.

As for the space group: F-43m (216). The calculation puts the uncorrected formation energy at -0.190 eV/atom. Its total energy is -79.33 eV/cell. The value obtained for the calculated volume is 203.2 Å³/f.u.

Cell lengths 6.5990, 6.5990, 6.5990 Å; angles 60.00, 60.00, 60.00 degrees
Atoms (fractional coordinates):
Br  0.0000  0.0000  0.0000
Ca  0.3758  0.3758  0.3758
Ca  0.3758  0.3758  0.8727
Ca  0.8727  0.3758  0.3758
Ca  0.3758  0.8727  0.3758
Se  0.7500  0.7500  0.7500

=====

11.
Here is Tl5Se3 at its PBEsol-relaxed geometry from Alexandria. Energies are from SCAN.

As for the space group: I4/mcm (140). The calculation puts the uncorrected formation energy at -0.300 eV/atom. Its total energy is -848.85 eV/cell. The value obtained for the calculated volume is 220.6 Å³/f.u.

Cell lengths 6.0989, 9.0360, 9.0360 Å; angles 83.46, 70.28, 70.28 degrees
Atoms (fractional coordinates):
Se  0.7500  0.0000  0.0000
Se  0.2500  0.0000  0.0000
Se  0.3420  0.5000  0.8161
Se  0.6580  0.5000  0.1839
Se  0.8420  0.8161  0.5000
Se  0.1580  0.1839  0.5000
Tl  0.7500  0.5000  0.5000
Tl  0.2500  0.5000  0.5000
Tl  0.4147  0.8661  0.3044
Tl  0.5853  0.1339  0.6956
Tl  0.9147  0.3044  0.8661
Tl  0.0853  0.6956  0.1339
Tl  0.2192  0.8661  0.6956
Tl  0.7808  0.1339  0.3044
Tl  0.2808  0.3044  0.1339
Tl  0.7192  0.6956  0.8661

=====

12.
Here is OsSeOF2 at its PBEsol-relaxed geometry from Alexandria. Energies are from SCAN.

As for the space group: P4/mmm (123). The calculation puts the uncorrected formation energy at 0.624 eV/atom. Its total energy is -102.15 eV/cell. The value obtained for the calculated volume is 76.0 Å³/f.u.

Cell lengths 3.6773, 4.5474, 4.5474 Å; angles 90.00, 90.00, 90.00 degrees
Atoms (fractional coordinates):
Os  0.5000  0.5000  0.5000
O  0.5000  0.0000  0.0000
Se  0.0000  0.0000  0.0000
F  0.0000  0.0000  0.5000
F  0.0000  0.5000  0.0000

=====

13.
Here is MnAsBr2O at its PBEsol-relaxed geometry from Alexandria. Energies are from SCAN.

As for the space group: P4/mmm (123). The calculation puts the uncorrected formation energy at 0.369 eV/atom. Its total energy is -81.75 eV/cell. The value obtained for the calculated volume is 110.5 Å³/f.u.

Cell lengths 4.8398, 4.8398, 4.7195 Å; angles 90.00, 90.00, 90.00 degrees
Atoms (fractional coordinates):
As  0.0000  0.0000  0.5000
Mn  0.0000  0.0000  0.0000
O  0.5000  0.5000  0.5000
Br  0.0000  0.5000  0.0000
Br  0.5000  0.0000  0.0000

=====

14.
Here is LaCrSb3 at its PBEsol-relaxed geometry from Alexandria. Energies are from SCAN.

As for the space group: Pbcm (57). The calculation puts the uncorrected formation energy at -0.625 eV/atom. Its total energy is -705.58 eV/cell. The value obtained for the calculated volume is 122.3 Å³/f.u.

Cell lengths 6.0110, 6.1823, 13.1653 Å; angles 90.00, 90.00, 90.00 degrees
Atoms (fractional coordinates):
La  0.2500  0.0024  0.3068
La  0.7500  0.9976  0.6932
La  0.7500  0.4976  0.3068
La  0.2500  0.5024  0.6932
Cr  0.5000  0.2500  0.9092
Cr  0.0000  0.7500  0.0908
Cr  0.5000  0.7500  0.0908
Cr  0.0000  0.2500  0.9092
Sb  0.2500  0.0998  0.0614
Sb  0.7500  0.9002  0.9386
Sb  0.7500  0.4002  0.0614
Sb  0.2500  0.5998  0.9386
Sb  0.2500  0.5003  0.2128
Sb  0.7500  0.4997  0.7872
Sb  0.7500  0.9997  0.2128
Sb  0.2500  0.0003  0.7872
Sb  0.5000  0.2500  0.5011
Sb  0.0000  0.7500  0.4989
Sb  0.5000  0.7500  0.4989
Sb  0.0000  0.2500  0.5011

=====

15.
Here is LiCaIr2 at its PBEsol-relaxed geometry from Alexandria. Energies are from SCAN.

As for the space group: Cmmm (65). The formation enthalpy at 0 K is 18 meV/atom. Its total energy is -154.18 eV/cell. The value obtained for the calculated volume is 61.0 Å³/f.u.

Cell lengths 2.7557, 2.7557, 8.8592 Å; angles 90.00, 90.00, 114.95 degrees
Atoms (fractional coordinates):
Ca  0.5000  0.5000  0.0000
Ir  0.0000  0.0000  0.2628
Ir  0.0000  0.0000  0.7372
Li  0.5000  0.5000  0.5000

=====

16.
Here is Y2ZrBr at its PBEsol-relaxed geometry from Alexandria. Energies are from SCAN.

As for the space group: Pm (6). The calculation puts the uncorrected formation energy at -0.278 eV/atom. Its total energy is -106.96 eV/cell. The value obtained for the calculated volume is 100.0 Å³/f.u.

Cell lengths 3.4681, 5.1705, 5.8387 Å; angles 90.00, 107.14, 90.00 degrees
Atoms (fractional coordinates):
Y  0.0219  0.0000  0.9230
Y  0.7315  0.5000  0.3362
Br  0.4591  0.5000  0.7945
Zr  0.2875  0.0000  0.4463

=====

17.
Here is SbRuPt2 at its PBEsol-relaxed geometry from Alexandria. Energies are from SCAN.

As for the space group: Cm (8). The calculation puts the uncorrected formation energy at 0.060 eV/atom. Its total energy is -212.23 eV/cell. The value obtained for the calculated volume is 64.5 Å³/f.u.

Cell lengths 3.2117, 4.6428, 4.7439 Å; angles 102.92, 90.00, 110.24 degrees
Atoms (fractional coordinates):
Pt  0.0011  0.0023  0.9865
Pt  0.2501  0.5002  0.7504
Ru  0.4974  0.9948  0.5054
Sb  0.7513  0.5027  0.2577

=====

18.
Here is Mg2ZnSi at its PBEsol-relaxed geometry from Alexandria. Energies are from SCAN.

As for the space group: Pmmm (47). The calculation puts the uncorrected formation energy at 0.010 eV/atom. Its total energy is -33.44 eV/cell. The value obtained for the calculated volume is 68.8 Å³/f.u.

Cell lengths 2.9531, 3.8983, 5.9773 Å; angles 90.00, 90.00, 90.00 degrees
Atoms (fractional coordinates):
Mg  0.0000  0.0000  0.7512
Mg  0.0000  0.0000  0.2488
Si  0.5000  0.5000  0.0000
Zn  0.5000  0.5000  0.5000

=====

19.
Here is ScFeBr2 at its PBEsol-relaxed geometry from Alexandria. Energies are from SCAN.

As for the space group: R-3m (166). The calculation puts the uncorrected formation energy at -0.370 eV/atom. Its total energy is -72.76 eV/cell. The value obtained for the calculated volume is 83.4 Å³/f.u.

Cell lengths 3.3560, 3.3560, 8.7626 Å; angles 78.96, 78.96, 60.00 degrees
Atoms (fractional coordinates):
Sc  0.5000  0.5000  0.5000
Fe  0.0000  0.0000  0.0000
Br  0.9061  0.9061  0.2818
Br  0.0939  0.0939  0.7182

=====

20.
Here is AlMoIr2Br at its PBEsol-relaxed geometry from Alexandria. Energies are from SCAN.

As for the space group: P4/mmm (123). The calculation puts the uncorrected formation energy at 1.771 eV/atom. Its total energy is -195.44 eV/cell. The value obtained for the calculated volume is 93.6 Å³/f.u.

Cell lengths 4.5212, 4.5510, 4.5510 Å; angles 90.00, 90.00, 90.00 degrees
Atoms (fractional coordinates):
Mo  0.5000  0.0000  0.0000
Ir  0.0000  0.0000  0.5000
Ir  0.0000  0.5000  0.0000
Al  0.5000  0.5000  0.5000
Br  0.0000  0.0000  0.0000

=====

21.
Here is Li3AuCl at its PBEsol-relaxed geometry from Alexandria. Energies are from SCAN.

As for the space group: Pm-3m (221). The calculation puts the uncorrected formation energy at -0.810 eV/atom. Its total energy is -88.36 eV/cell. The value obtained for the calculated volume is 89.5 Å³/f.u.

Cell lengths 4.4729, 4.4729, 4.4729 Å; angles 90.00, 90.00, 90.00 degrees
Atoms (fractional coordinates):
Li  0.0000  0.5000  0.0000
Li  0.0000  0.0000  0.5000
Li  0.5000  0.0000  0.0000
Au  0.5000  0.5000  0.5000
Cl  0.0000  0.0000  0.0000

=====

22.
Here is Zr6Nb2O17 at its PBEsol-relaxed geometry from Alexandria. Energies are from SCAN.

As for the space group: C2 (5). The calculation puts the uncorrected formation energy at -3.481 eV/atom. Its total energy is -886.82 eV/cell. The value obtained for the calculated volume is 267.3 Å³/f.u.

Cell lengths 4.9810, 5.2280, 20.8154 Å; angles 97.21, 96.13, 90.00 degrees
Atoms (fractional coordinates):
Zr  0.5000  0.2318  0.0000
Zr  0.0000  0.7361  0.0000
Zr  0.9600  0.0505  0.8702
Zr  0.8928  0.4223  0.7443
Zr  0.3686  0.9185  0.7454
Zr  0.3050  0.4335  0.6190
Zr  0.7620  0.2946  0.5022
Zr  0.2380  0.7924  0.4978
Zr  0.6950  0.8144  0.3810
Zr  0.6314  0.1731  0.2546
Zr  0.1072  0.6780  0.2557
Zr  0.0400  0.1802  0.1298
Nb  0.4174  0.5471  0.8692
Nb  0.8434  0.9322  0.6234
Nb  0.1566  0.3088  0.3766
Nb  0.5826  0.6779  0.1308
O  0.6660  0.5381  0.9484
O  0.7865  0.0364  0.9530
O  0.2503  0.8598  0.9297
O  0.1903  0.3704  0.9303
O  0.5995  0.8424  0.8334
O  0.7204  0.3521  0.8307
O  0.1119  0.7204  0.8088
O  0.2118  0.2338  0.8093
O  0.7149  0.0528  0.7167
O  0.5276  0.5578  0.7141
O  0.0539  0.6926  0.6834
O  0.1497  0.1852  0.6831
O  0.4850  0.7901  0.6064
O  0.6711  0.2643  0.6056
O  0.0832  0.1012  0.5616
O  0.9776  0.6241  0.5636
O  0.6122  0.9231  0.4892
O  0.3878  0.4339  0.5108
O  0.9168  0.5397  0.4384
O  0.0224  0.0605  0.4364
O  0.5150  0.1837  0.3936
O  0.3289  0.6587  0.3944
O  0.9461  0.0093  0.3166
O  0.8503  0.5021  0.3169
O  0.2851  0.3360  0.2833
O  0.4724  0.8438  0.2859
O  0.8881  0.9115  0.1912
O  0.7882  0.4245  0.1907
O  0.2796  0.5213  0.1693
O  0.4005  0.0090  0.1666
O  0.7497  0.9301  0.0703
O  0.8097  0.4401  0.0697
O  0.3340  0.5897  0.0516
O  0.2135  0.0834  0.0470

=====

23.
Here is LiTcHg2 at its PBEsol-relaxed geometry from Alexandria. Energies are from SCAN.

As for the space group: I4/mmm (139). The formation enthalpy at 0 K is 233 meV/atom. Its total energy is -172.85 eV/cell. The value obtained for the calculated volume is 68.6 Å³/f.u.

Cell lengths 4.5906, 4.5972, 4.5906 Å; angles 60.05, 90.00, 119.95 degrees
Atoms (fractional coordinates):
Hg  0.2500  0.5000  0.2500
Hg  0.7500  0.5000  0.7500
Li  0.0000  0.0000  0.0000
Tc  0.5000  0.0000  0.5000

=====

24.
Here is NbAs2Pb at its PBEsol-relaxed geometry from Alexandria. Energies are from SCAN.

As for the space group: I-42d (122). The formation enthalpy at 0 K is 74 meV/atom. Its total energy is -297.99 eV/cell. The value obtained for the calculated volume is 117.1 Å³/f.u.

Cell lengths 6.1343, 6.1343, 7.5840 Å; angles 113.86, 113.86, 90.00 degrees
Atoms (fractional coordinates):
Pb  0.2500  0.7500  0.5000
Pb  0.0000  0.0000  0.0000
Nb  0.7500  0.2500  0.5000
Nb  0.5000  0.5000  0.0000
As  0.4335  0.8750  0.2500
As  0.8165  0.3750  0.2500
As  0.1250  0.1835  0.7500
As  0.6250  0.5665  0.7500